(1)
## Rb2BaNbSe4 (GGA-PBE)

Data for a relaxed Rb2BaNbSe4 crystal.

The formation energy from raw total energies comes out at -1.120 eV per atom. The calculation puts the total DFT energy (no corrections) at -4.60 eV per atom.

a b c (Å): 7.526 7.526 7.526
angles (deg): 114.03 114.03 100.70
Fractional coordinates of all 8 atoms:
Rb: 0.000 0.000 0.000
Rb: 0.750 0.250 0.500
Ba: 0.500 0.500 0.000
Nb: 0.250 0.750 0.500
Se: 0.189 0.673 0.121
Se: 0.327 0.447 0.515
Se: 0.553 0.068 0.879
Se: 0.932 0.811 0.485

---

(2)
## U3Tl3HgSe8 (GGA-PBE)

Data for a relaxed U3Tl3HgSe8 crystal.

The formation energy from raw total energies comes out at -0.782 eV per atom. The calculation puts the total DFT energy (no corrections) at -5.39 eV per atom.

a b c (Å): 8.293 8.293 9.174
angles (deg): 116.89 116.89 59.95
Fractional coordinates of all 15 atoms:
U: 0.000 0.000 0.000
U: 0.000 0.500 0.000
U: 0.500 0.000 0.000
Tl: 0.000 0.500 0.500
Tl: 0.500 0.000 0.500
Tl: 0.500 0.500 0.500
Hg: 0.500 0.500 0.000
Se: 0.221 0.743 0.206
Se: 0.236 0.236 0.207
Se: 0.257 0.257 0.794
Se: 0.257 0.779 0.794
Se: 0.743 0.221 0.206
Se: 0.743 0.743 0.206
Se: 0.764 0.764 0.793
Se: 0.779 0.257 0.794

---

(3)
## SiTcAs2 (GGA-PBE)

Data for a relaxed SiTcAs2 crystal.

The formation energy from raw total energies comes out at 0.271 eV per atom. The calculation puts the total DFT energy (no corrections) at -6.00 eV per atom.

a b c (Å): 6.745 6.745 6.745
angles (deg): 130.32 130.32 72.90
Fractional coordinates of all 8 atoms:
Si: 0.000 0.000 0.000
Si: 0.750 0.250 0.500
Tc: 0.250 0.750 0.500
Tc: 0.500 0.500 0.000
As: 0.128 0.625 0.003
As: 0.375 0.378 0.503
As: 0.622 0.125 0.997
As: 0.875 0.872 0.497